(1)
Material: NaTcP
Method: DFT, PBE
State: relaxed

The calculation puts the formation energy at -0.1930 eV per atom. The crystal system is triclinic. The calculation puts the density of states at the Fermi level at 0.3021 states/eV per atom. The energy above the most stable polymorph in this dataset is 216.7 meV/atom.

The structure belongs to space group P-1 (No. 2); the cell edges are 2.905, 5.336 and 7.257 Å and the angles 108.95°, 94.51° and 104.53°. Symmetry generates all atoms from Na at (0.240, 0.196, 0.394), Tc at (0.385, 0.226, 0.998) and P at (0.088, 0.600, 0.210).

=====

(2)
Material: LiSi2Os
Method: DFT, PBE
State: relaxed

The crystal system is tetragonal. The calculation puts the density of states at the Fermi level at 0.7388 states/eV per atom. The calculation puts the uncorrected formation energy at 14 meV per atom. The energy above the most stable polymorph in this dataset is 269.5 meV/atom.

The structure belongs to space group P4/mmm (No. 123); the cell edges are 3.709, 3.709 and 3.668 Å and the angles 90.00°, 90.00° and 90.00°. Symmetry generates all atoms from Li at (0.000, 0.000, 0.000), Si at (0.000, 0.500, 0.500) and Os at (0.500, 0.500, 0.000).

=====

(3)
Material: Ir2Os2Rh7
Method: DFT, PBE
State: relaxed

The calculation puts the formation energy at 0.0170 eV per atom. The crystal system is monoclinic. The calculation puts the density of states at the Fermi level at 1.1109 states/eV per atom. The energy above the most stable polymorph in this dataset is 0.0 meV/atom.

The structure belongs to space group C2/m (No. 12); the cell edges are 13.876, 3.854 and 6.076 Å and the angles 90.00°, 105.35° and 90.00°. Symmetry generates all atoms from Ir at (0.228, 0.000, 0.140), Os at (0.048, 0.000, 0.219), Rh at (0.000, 0.500, 0.500), Rh at (0.089, 0.500, 0.955), Rh at (0.136, 0.000, 0.681) and Rh at (0.178, 0.500, 0.406).

=====

(4)
Material: Ac2YGe3Pt12
Method: DFT, PBE
State: relaxed

The calculation puts the formation energy at -0.4080 eV per atom. The crystal system is trigonal. The calculation puts the density of states at the Fermi level at 0.4247 states/eV per atom.

The structure belongs to space group R-3m (No. 166, hexagonal axes); the cell edges are 8.4649, 8.4649 and 19.0348 Å and the angles 90.00°, 90.00° and 120.00°. Symmetry generates all atoms from Ac at (0.0000, 0.0000, 0.1036), Y at (0.0000, 0.0000, 0.5000), Ge at (0.0000, 0.5000, 0.0000), Pt at (0.0248, 0.5124, 0.8707) and Pt at (0.0343, 0.5172, 0.3714).

=====

(5)
Material: MgTa3
Method: DFT, PBE
State: relaxed

The calculation puts the formation energy at 0.2814 eV per atom. The crystal system is trigonal. The calculation puts the density of states at the Fermi level at 1.2244 states/eV per atom. The energy above the most stable polymorph in this dataset is 145.4 meV/atom.

The structure belongs to space group R-3m (No. 166, hexagonal axes); the cell edges are 2.9416, 2.9416 and 30.4763 Å and the angles 90.00°, 90.00° and 120.00°. Symmetry generates all atoms from Mg at (0.0000, 0.0000, 0.0000), Ta at (0.0000, 0.0000, 0.2487) and Ta at (0.0000, 0.0000, 0.5000).

=====

(6)
Material: CdRh2
Method: DFT, PBE
State: relaxed

The calculation puts the formation energy at 0.0144 eV per atom. The crystal system is monoclinic. The calculation puts the density of states at the Fermi level at 1.4005 states/eV per atom.

The structure belongs to space group C2/m (No. 12); the cell edges are 10.575, 2.834 and 6.645 Å and the angles 90.00°, 105.11° and 90.00°. Symmetry generates all atoms from Cd at (0.023, 0.000, 0.295), Rh at (0.152, 0.500, 0.025) and Rh at (0.204, 0.500, 0.638).

=====

(7)
Material: SiNi2Pt
Method: DFT, PBE
State: relaxed

The crystal system is orthorhombic. The calculation puts the density of states at the Fermi level at 0.5458 states/eV per atom. The calculation puts the uncorrected formation energy at -397 meV per atom.

The structure belongs to space group Immm (No. 71); the cell edges are 2.756, 4.263 and 8.433 Å and the angles 90.00°, 90.00° and 90.00°. Symmetry generates all atoms from Si at (0.000, 0.000, 0.000), Ni at (0.000, 0.500, 0.282) and Pt at (0.000, 0.000, 0.500).

=====

(8)
Material: Sm3CCl3
Method: DFT, PBE
State: relaxed

The crystal system is monoclinic. The calculation puts the density of states at the Fermi level at 0.5317 states/eV per atom. The calculation puts the uncorrected formation energy at -1155 meV per atom. The energy above the most stable polymorph in this dataset is 379.8 meV/atom.

The structure belongs to space group C2/m (No. 12); the cell edges are 9.215, 11.688 and 8.295 Å and the angles 90.00°, 120.77° and 90.00°. Symmetry generates all atoms from Sm at (0.012, 0.000, 0.292), Sm at (0.145, 0.343, 0.286), C at (0.191, 0.000, 0.616), Cl at (0.000, 0.165, 0.000), Cl at (0.000, 0.289, 0.500) and Cl at (0.127, 0.500, 0.883).

=====

(9)
Material: Fe2Cu2Au
Method: DFT, PBE
State: relaxed

The calculation puts the formation energy at 0.2730 eV per atom. The crystal system is tetragonal. The calculation puts the density of states at the Fermi level at 0.8618 states/eV per atom. The energy above the most stable polymorph in this dataset is 22.7 meV/atom.

The structure belongs to space group P4/mbm (No. 127); the cell edges are 7.180, 7.180 and 2.653 Å and the angles 90.00°, 90.00° and 90.00°. Symmetry generates all atoms from Fe at (0.116, 0.384, 0.000), Cu at (0.176, 0.676, 0.500) and Au at (0.000, 0.000, 0.000).

=====

(10)
Material: As2HBr6
Method: DFT, PBE
State: relaxed

The crystal system is monoclinic. The calculation puts the density of states at the Fermi level at 0.3663 states/eV per atom.

The structure belongs to space group C2/c (No. 15); the cell edges are 12.721, 13.413 and 9.212 Å and the angles 90.00°, 104.35° and 90.00°. Symmetry generates all atoms from As at (0.173, 0.162, 0.308), H at (0.000, 0.376, 0.750), Br at (0.048, 0.145, 0.072), Br at (0.136, 0.380, 0.761) and Br at (0.185, 0.338, 0.321).

=====

(11)
Material: Tm7CoSn4
Method: DFT, PBE
State: relaxed

The calculation puts the formation energy at -0.2938 eV per atom. The crystal system is monoclinic. The calculation puts the density of states at the Fermi level at 0.6555 states/eV per atom.

The structure belongs to space group C2/m (No. 12); the cell edges are 15.558, 5.083 and 11.107 Å and the angles 90.00°, 128.87° and 90.00°. Symmetry generates all atoms from Tm at (0.000, 0.000, 0.000), Tm at (0.067, 0.500, 0.273), Tm at (0.142, 0.000, 0.559), Tm at (0.224, 0.500, 0.865), Co at (0.000, 0.500, 0.000), Sn at (0.082, 0.000, 0.779) and Sn at (0.221, 0.000, 0.350).

=====

(12)
Material: Al2CoSb
Method: DFT, PBE
State: relaxed

The crystal system is monoclinic. The calculation puts the density of states at the Fermi level at 0.6536 states/eV per atom. The calculation puts the uncorrected formation energy at 186 meV per atom.

The structure belongs to space group P2/m (No. 10); the cell edges are 4.399, 3.173 and 5.148 Å and the angles 90.00°, 110.38° and 90.00°. Symmetry generates all atoms from Al at (0.000, 0.000, 0.000), Al at (0.500, 0.500, 0.000), Co at (0.000, 0.500, 0.500) and Sb at (0.500, 0.000, 0.500).

=====

(13)
Material: TaHgOs2
Method: DFT, PBE
State: relaxed

The calculation puts the formation energy at 0.2542 eV per atom. The crystal system is tetragonal. The calculation puts the density of states at the Fermi level at 0.4849 states/eV per atom.

The structure belongs to space group P4mm (No. 99); the cell edges are 2.838, 2.838 and 8.364 Å and the angles 90.00°, 90.00° and 90.00°. Symmetry generates all atoms from Ta at (0.000, 0.000, 0.000), Hg at (0.500, 0.500, 0.276), Os at (0.000, 0.000, 0.544) and Os at (0.500, 0.500, 0.743).

=====

(14)
Material: Er3UGa12
Method: DFT, PBE
State: relaxed

The calculation puts the formation energy at -0.4541 eV per atom. The crystal system is tetragonal. The calculation puts the density of states at the Fermi level at 0.6248 states/eV per atom.

The structure belongs to space group P4/mmm (No. 123); the cell edges are 4.231, 4.231 and 17.118 Å and the angles 90.00°, 90.00° and 90.00°. Symmetry generates all atoms from Er at (0.000, 0.000, 0.000), Er at (0.000, 0.000, 0.249), U at (0.000, 0.000, 0.500), Ga at (0.000, 0.500, 0.125), Ga at (0.000, 0.500, 0.375), Ga at (0.500, 0.500, 0.000), Ga at (0.500, 0.500, 0.250) and Ga at (0.500, 0.500, 0.500).

=====

(15)
Material: K2PdPt3Pb4
Method: DFT, PBE
State: relaxed

The calculation puts the formation energy at -0.2476 eV per atom. The crystal system is tetragonal. The calculation puts the density of states at the Fermi level at 0.5705 states/eV per atom.

The structure belongs to space group P-4m2 (No. 115); the cell edges are 4.941, 4.941 and 10.862 Å and the angles 90.00°, 90.00° and 90.00°. Symmetry generates all atoms from K at (0.000, 0.500, 0.239), Pd at (0.500, 0.500, 0.000), Pt at (0.000, 0.000, 0.000), Pt at (0.000, 0.500, 0.627), Pb at (0.000, 0.000, 0.500), Pb at (0.000, 0.500, 0.881) and Pb at (0.500, 0.500, 0.500).

=====

(16)
Material: DyIO4
Method: DFT, PBE
State: relaxed

The crystal system is trigonal. The calculation puts the density of states at the Fermi level at 0.0000 states/eV per atom. The calculation puts the uncorrected formation energy at -1550 meV per atom.

The structure belongs to space group R-3m (No. 166, hexagonal axes); the cell edges are 3.8269, 3.8269 and 18.0396 Å and the angles 90.00°, 90.00° and 120.00°. Symmetry generates all atoms from Dy at (0.0000, 0.0000, 0.0000), I at (0.0000, 0.0000, 0.5000), O at (0.0000, 0.0000, 0.1347) and O at (0.0000, 0.0000, 0.3819).

=====

(17)
Material: KH5F4
Method: DFT, PBE
State: relaxed

The crystal system is orthorhombic. The calculation puts the density of states at the Fermi level at 0.0000 states/eV per atom.

The structure belongs to space group Pmmn (No. 59, origin choice 2); the cell edges are 5.992, 6.934 and 5.372 Å and the angles 90.00°, 90.00° and 90.00°. Symmetry generates all atoms from K at (0.250, 0.250, 0.041), H at (0.004, 0.572, 0.494), H at (0.250, 0.750, 0.890), F at (0.011, 0.250, 0.522) and F at (0.250, 0.586, 0.892).

=====

(18)
Material: Co2WAu
Method: DFT, PBE
State: relaxed

The calculation puts the formation energy at 0.1550 eV per atom. The crystal system is tetragonal. The calculation puts the density of states at the Fermi level at 0.8347 states/eV per atom. The energy above the most stable polymorph in this dataset is 0.0 meV/atom.

The structure belongs to space group P4/mmm (No. 123); the cell edges are 3.097, 3.097 and 5.740 Å and the angles 90.00°, 90.00° and 90.00°. Symmetry generates all atoms from Co at (0.000, 0.000, 0.220), W at (0.500, 0.500, 0.000) and Au at (0.500, 0.500, 0.500).

=====

(19)
Material: Pr6Nd2YHo
Method: DFT, PBE
State: relaxed

The calculation puts the formation energy at 0.1105 eV per atom. The crystal system is monoclinic. The calculation puts the density of states at the Fermi level at 1.4732 states/eV per atom.

The structure belongs to space group C2/c (No. 15); the cell edges are 9.305, 15.589 and 9.879 Å and the angles 90.00°, 98.19° and 90.00°. Symmetry generates all atoms from Pr at (0.061, 0.183, 0.447), Pr at (0.104, 0.395, 0.618), Pr at (0.208, 0.221, 0.809), Nd at (0.247, 0.051, 0.043), Y at (0.000, 0.022, 0.750) and Ho at (0.000, 0.410, 0.250).

=====

(20)
Material: RbOsRh
Method: DFT, PBE
State: relaxed

The calculation puts the formation energy at 0.5793 eV per atom. The crystal system is monoclinic. The calculation puts the density of states at the Fermi level at 0.9488 states/eV per atom. The energy above the most stable polymorph in this dataset is 100.9 meV/atom.

The structure belongs to space group P2_1/m (No. 11); the cell edges are 5.244, 4.145 and 6.974 Å and the angles 90.00°, 97.16° and 90.00°. Symmetry generates all atoms from Rb at (0.240, 0.250, 0.412), Os at (0.389, 0.750, 0.039) and Rh at (0.106, 0.250, 0.922).

=====

Number 1: E_tot -35.348 eV per cell. Number 2: E_tot -23.936 eV per cell. Number 3: E_tot -182.910 eV per cell. Number 4: E_tot -325.100 eV per cell. Number 5: E_tot -108.081 eV per cell. Number 6: E_tot -62.299 eV per cell. Number 7: E_tot -49.230 eV per cell. Number 8: E_tot -148.039 eV per cell. Number 9: E_tot -54.060 eV per cell. Number 10: E_tot -99.148 eV per cell. Number 11: E_tot -115.887 eV per cell. Number 12: E_tot -17.970 eV per cell. Number 13: E_tot -33.597 eV per cell. Number 14: E_tot -68.564 eV per cell. Number 15: E_tot -42.819 eV per cell. Number 16: E_tot -105.852 eV per cell. Number 17: E_tot -72.258 eV per cell. Number 18: E_tot -29.822 eV per cell. Number 19: E_tot -192.600 eV per cell. Number 20: E_tot -35.622 eV per cell.